[1]
{
  "formula": "Sm2Co17H3",
  "functional": "GGA-PBE",
  "state": "relaxed",
  "dos_at_fermi_per_ev_atom": 0.963,
  "magmom_total_mub_per_cell": 24.194,
  "e_tot_ev_per_atom": -6.48,
  "lattice_angstrom": [[4.212, 2.432, 4.037], [-4.212, 2.432, 4.037], [0.000, -4.864, 4.037]],
  "species": ["Sm", "Sm", "Co", "Co", "Co", "Co", "Co", "Co", "Co", "Co", "Co", "Co", "Co", "Co", "Co", "Co", "Co", "Co", "Co", "H", "H", "H"],
  "fractional_positions": [[0.155, 0.155, 0.155], [0.845, 0.845, 0.845], [0.000, 0.500, 0.500], [0.156, 0.156, 0.644], [0.156, 0.644, 0.156], [0.217, 0.500, 0.783], [0.217, 0.783, 0.500], [0.356, 0.844, 0.844], [0.404, 0.404, 0.404], [0.500, 0.000, 0.500], [0.500, 0.217, 0.783], [0.500, 0.500, 0.000], [0.500, 0.783, 0.217], [0.596, 0.596, 0.596], [0.644, 0.156, 0.156], [0.783, 0.217, 0.500], [0.783, 0.500, 0.217], [0.844, 0.356, 0.844], [0.844, 0.844, 0.356], [0.000, 0.000, 0.500], [0.000, 0.500, 0.000], [0.500, 0.000, 0.000]]
}

***

[2]
{
  "formula": "KYTl2",
  "functional": "GGA-PBE",
  "state": "relaxed",
  "dos_at_fermi_per_ev_atom": 0.519,
  "magmom_total_mub_per_cell": 0.000,
  "formation_energy_ev_per_atom": 0.062,
  "lattice_angstrom": [[-2.413, 2.413, 5.346], [2.413, -2.413, 5.346], [2.413, 2.413, -5.346]],
  "species": ["K", "Y", "Tl", "Tl"],
  "fractional_positions": [[0.000, 0.000, 0.000], [0.750, 0.250, 0.500], [0.250, 0.750, 0.500], [0.500, 0.500, 0.000]]
}

***

[3]
{
  "formula": "BaGeTe2",
  "functional": "GGA-PBE",
  "state": "relaxed",
  "dos_at_fermi_per_ev_atom": 0.968,
  "magmom_total_mub_per_cell": 0.644,
  "raw_formation_energy_mev_per_atom": -180,
  "lattice_angstrom": [[2.122, 1.225, 9.895], [-2.122, 1.225, 9.895], [0.000, -2.451, 9.895]],
  "species": ["Ba", "Ge", "Te", "Te"],
  "fractional_positions": [[0.000, 0.000, 0.000], [0.500, 0.500, 0.500], [0.112, 0.112, 0.112], [0.888, 0.888, 0.888]]
}

***

[4]
{
  "formula": "K2Ce2CrSe6",
  "functional": "GGA-PBE",
  "state": "relaxed",
  "dos_at_fermi_per_ev_atom": 0.627,
  "magmom_total_mub_per_cell": 4.017,
  "raw_formation_energy_mev_per_atom": -1346,
  "lattice_angstrom": [[3.582, -6.093, 0.000], [3.582, 6.093, 0.000], [-2.454, 0.000, 7.829]],
  "species": ["K", "K", "Ce", "Ce", "Cr", "Se", "Se", "Se", "Se", "Se", "Se"],
  "fractional_positions": [[0.172, 0.828, 0.000], [0.828, 0.172, 0.000], [0.333, 0.667, 0.500], [0.667, 0.333, 0.500], [0.000, 0.000, 0.500], [0.069, 0.372, 0.695], [0.232, 0.232, 0.307], [0.372, 0.069, 0.695], [0.628, 0.931, 0.305], [0.768, 0.768, 0.693], [0.931, 0.628, 0.305]]
}

***

Repeat the second record exactly.
{
  "formula": "KYTl2",
  "functional": "GGA-PBE",
  "state": "relaxed",
  "dos_at_fermi_per_ev_atom": 0.519,
  "magmom_total_mub_per_cell": 0.000,
  "formation_energy_ev_per_atom": 0.062,
  "lattice_angstrom": [[-2.413, 2.413, 5.346], [2.413, -2.413, 5.346], [2.413, 2.413, -5.346]],
  "species": ["K", "Y", "Tl", "Tl"],
  "fractional_positions": [[0.000, 0.000, 0.000], [0.750, 0.250, 0.500], [0.250, 0.750, 0.500], [0.500, 0.500, 0.000]]
}